## CrRuPtO2 (PBE+U)

Data for crystalline CrRuPtO2 at its relaxed geometry.

Properties
Symmetry = No. 123
DFT total energy = -6.51 eV/atom

a b c (Å): 3.711 5.866 3.711
angles (deg): 90.00 90.00 90.00
Site moments in Bohr magnetons follow the coordinates.
Positions (direct):
Ru 0.000 0.000 0.000  -0.29
O 0.000 0.000 0.500  -0.03
Pt 0.500 0.500 0.500  -0.30
Cr 0.000 0.500 0.000  3.82
O 0.500 0.000 0.000  -0.01